Below is BeInTe2I at its PBEsol-relaxed geometry, with properties calculated at the SCAN level.

Cell lengths 5.6148, 5.6148, 5.6791 Å; angles 90.00, 90.00, 90.00 degrees
Last column: nearest neighbours and their distance in Å.
Space group P4/mmm (No. 123)
Symmetry-distinct sites (fractional):
Be1 0.0000 0.0000 0.0000 [1 per cell]  4 I 3.97, 8 Te 3.99
In1 0.5000 0.5000 0.5000 [1 per cell]  4 Te 2.81, 2 I 2.84
Te1 0.0000 0.5000 0.5000 [2 per cell]  2 In 2.81
I1 0.5000 0.5000 0.0000 [1 per cell]  2 In 2.84

Calculated volume = 179 Å³/cell
Size of the total moment = 1.2 μB per cell
Density of states at the Fermi level = 3.918 states/eV/f.u.
Formation energy without anion corrections = 0.8500 eV/atom
Calculated density = 4.69 g/cm3